La2InFe, optimized geometry, DFT PBE-GGA; space-group type = P4mm; E_form = 0.0788 eV/atom; DOS at the Fermi energy = 1.66 states/eV/atom
1.0
3.465 0.000 0.000
0.000 3.465 0.000
0.000 0.000 8.900
La In Fe
2 1 1
Direct
0.000 0.000 0.000
0.500 0.500 0.365
0.500 0.500 0.734
0.000 0.000 0.578

---

LaInFe, optimized geometry, DFT PBE-GGA; space-group type = P-6m2; E_form = 0.0272 eV/atom; DOS at the Fermi energy = 2.04 states/eV/atom
1.0
4.661 0.000 0.000
-2.331 4.037 0.000
0.000 0.000 4.032
La In Fe
1 1 1
Direct
0.000 0.000 0.000
0.667 0.333 0.500
0.333 0.667 0.500

---

no.,magnetization (μB per formula unit),total DFT energy (no corrections) (eV per atom)
1,1.946,-5.185
2,2.163,-5.349